(1)
First-principles (GGA-PBE) data for a relaxed structure of Sm3Zn3Rh2, as listed in Alexandria.

The structure belongs to space group Pnma (No. 62); the cell edges are 7.560, 16.102 and 5.607 Å and the angles 90.00°, 90.00° and 90.00°. Symmetry generates all atoms from Sm at (0.038, 0.105, 0.114), Sm at (0.167, 0.250, 0.640), Zn at (0.171, 0.032, 0.595), Zn at (0.175, 0.750, 0.635) and Rh at (0.122, 0.615, 0.372).

The density of states at the Fermi level comes out at 19.50 states/eV per cell. For the formation energy, the calculation gives -0.5680 eV/atom. For the spin magnetization, the calculation gives 0.000 μB/atom.

***

(2)
First-principles (GGA-PBE) data for a relaxed structure of Sm8ZnRh2, as listed in Alexandria.

The structure belongs to space group Cm (No. 8); the cell edges are 8.559, 13.643 and 5.688 Å and the angles 90.00°, 107.15° and 90.00°. Symmetry generates all atoms from Sm at (0.000, 0.000, 0.000), Sm at (0.096, 0.376, 0.754), Sm at (0.175, 0.125, 0.617), Sm at (0.271, 0.500, 0.371), Sm at (0.385, 0.236, 0.185), Zn at (0.386, 0.000, 0.180) and Rh at (0.385, 0.291, 0.685).

The density of states at the Fermi level comes out at 26.11 states/eV per cell. For the formation energy, the calculation gives -0.2477 eV/atom. For the spin magnetization, the calculation gives 0.000 μB/atom.

***

(3)
First-principles (GGA-PBE) data for a relaxed structure of Sm2Zn3Rh2, as listed in Alexandria.

The structure belongs to space group C2/m (No. 12); the cell edges are 9.863, 4.138 and 7.163 Å and the angles 90.00°, 112.07° and 90.00°. Symmetry generates all atoms from Sm at (0.143, 0.000, 0.268), Zn at (0.000, 0.500, 0.500), Zn at (0.137, 0.500, 0.942) and Rh at (0.137, 0.000, 0.695).

The density of states at the Fermi level comes out at 6.80 states/eV per cell. For the formation energy, the calculation gives -0.6040 eV/atom. For the spin magnetization, the calculation gives 0.000 μB/atom.

***

(4)
First-principles (GGA-PBE) data for a relaxed structure of Sm4ZnRh4, as listed in Alexandria.

The structure belongs to space group P4_2/n (No. 86, origin choice 2); the cell edges are 8.550, 8.550 and 5.606 Å and the angles 90.00°, 90.00° and 90.00°. Symmetry generates all atoms from Sm at (0.043, 0.684, 0.116), Zn at (0.250, 0.250, 0.250) and Rh at (0.001, 0.639, 0.614).

The density of states at the Fermi level comes out at 8.81 states/eV per cell. For the formation energy, the calculation gives -0.5779 eV/atom. For the spin magnetization, the calculation gives 0.000 μB/atom.

***

spin magnetization of number 1 (Sm3Zn3Rh2)? 0.000 μB/atom

***

What is the spin magnetization in the first record? 0.000 μB/atom

***

Which formula does entry 3 have? Sm2Zn3Rh2